La5AlRh | PBE | optimized geometry

a = 6.274 Å, b = 6.274 Å, c = 11.682 Å
α = 78.82°, β = 78.82°, γ = 75.65°
Sites, in units of the cell vectors:
La 0.973 0.539 0.140
La 0.217 0.562 0.544
La 0.539 0.973 0.640
La 0.035 0.965 0.250
La 0.438 0.783 0.956
La 0.562 0.217 0.044
La 0.965 0.035 0.750
La 0.461 0.027 0.360
La 0.783 0.438 0.456
La 0.027 0.461 0.860
Al 0.449 0.551 0.250
Al 0.551 0.449 0.750
Rh 0.000 0.000 0.000
Rh 0.000 0.000 0.500

The density of states at the Fermi level is 14.43 states/eV per cell. Its formation energy is -0.26 eV/atom. The symmetry is C2/c. As for the calculated total energy: -75.06 eV/cell.